# GdErSn

GdErSn after structural relaxation (GGA-PBE, the Alexandria database).

```
GdErSn
1.0
5.139 0.000 0.000
-2.569 4.450 0.000
0.000 0.000 3.774
Gd Er Sn
1 1 1
direct
0.000 0.000 0.000 Gd
0.333 0.667 0.553 Er
0.667 0.333 0.321 Sn
```

## Properties
Energy relative to the elements = -358 meV per atom